Density functional theory data (PBE) for a relaxed LaPmAl2Pd crystal.

Lattice parameters (Å, degrees): 6.878 6.878 6.878 143.11 140.26 55.34
Positions (direct):
La (0.000, 0.000, 0.000)
Pm (0.259, 0.759, 0.500)
Al (0.606, 0.606, 0.000)
Al (0.760, 0.260, 0.500)
Pd (0.404, 0.404, 0.000)

Values from the calculation:
**Size of the total moment**: 0.0 Bohr magnetons per cell
**VASP energy**: -5.007 eV/atom
**Calculated formation energy**: -0.54 eV per atom

***

Density functional theory data (PBE) for a relaxed LaPmAlPd crystal.

Lattice parameters (Å, degrees): 5.262 5.262 5.262 60.00 60.00 60.00
Positions (direct):
La (0.000, 0.000, 0.000)
Pm (0.500, 0.500, 0.500)
Al (0.750, 0.750, 0.750)
Pd (0.250, 0.250, 0.250)

Values from the calculation:
**Size of the total moment**: 0.0 Bohr magnetons per cell
**VASP energy**: -5.125 eV/atom
**Calculated formation energy**: -0.47 eV per atom